Density functional theory data (PBE-GGA) for a relaxed La2In6AgRu crystal.

a = 8.0573 Å, b = 7.0946 Å, c = 9.4142 Å
α = 90.00°, β = 90.00°, γ = 90.00°
Atoms (fractional coordinates):
In: 0.6991 0.3791 0.5000
In: 0.0000 0.7750 0.7564
In: 0.6802 0.0463 0.0000
Ru: 0.0000 0.9973 0.0000
Ag: 0.0000 0.5659 0.5000
Ru: 0.5000 0.0027 0.5000
In: 0.0000 0.7750 0.2436
La: 0.0000 0.2724 0.2148
In: 0.1802 0.9537 0.5000
In: 0.8198 0.9537 0.5000
In: 0.3009 0.3791 0.5000
La: 0.5000 0.7276 0.2852
La: 0.0000 0.2724 0.7852
In: 0.1991 0.6209 0.0000
In: 0.3198 0.0463 0.0000
La: 0.5000 0.7276 0.7148
In: 0.5000 0.2250 0.7436
In: 0.8009 0.6209 0.0000
Ag: 0.5000 0.4341 0.0000
In: 0.5000 0.2250 0.2564

Space group: No. 59
Calculated formation energy: -201.2 meV per atom
Crystal system: orthorhombic

Density functional theory data (PBE-GGA) for a relaxed LaSc2In2Ag2 crystal.

a = 4.7801 Å, b = 4.7801 Å, c = 9.0611 Å
α = 74.71°, β = 74.71°, γ = 60.00°
Atoms (fractional coordinates):
In: 0.7441 0.7441 0.7677
Sc: 0.1360 0.1360 0.5920
La: 0.0000 0.0000 0.0000
In: 0.2559 0.2559 0.2323
Ag: 0.5598 0.5598 0.3206
Ag: 0.4402 0.4402 0.6794
Sc: 0.8640 0.8640 0.4080

Space group: No. 166
Calculated formation energy: -321.8 meV per atom
Crystal system: trigonal

Density functional theory data (PBE-GGA) for a relaxed La2InAgSe5 crystal.

a = 4.2334 Å, b = 9.3957 Å, c = 12.0143 Å
α = 90.00°, β = 90.00°, γ = 103.02°
Atoms (fractional coordinates):
Se: 0.7019 0.4037 0.8362
Se: 0.3699 0.7398 0.9945
Ag: 0.7721 0.5442 0.5134
La: 0.1174 0.2349 0.3028
La: 0.1262 0.2524 0.6811
Se: 0.9674 0.9347 0.5747
Se: 0.6301 0.2602 0.4945
Se: 0.2981 0.5963 0.3362
Se: 0.3026 0.6052 0.6621
Se: 0.4873 0.9747 0.2820
Ag: 0.2279 0.4558 0.0134
Se: 0.5127 0.0253 0.7820
La: 0.8826 0.7651 0.8028
Se: 0.0326 0.0653 0.0747
In: 0.5892 0.1784 0.9771
La: 0.8738 0.7476 0.1811
Se: 0.6974 0.3948 0.1621
In: 0.4108 0.8216 0.4771

E: -4.923 eV per atom
Space group: No. 36
Crystal system: orthorhombic

Density functional theory data (PBE-GGA) for a relaxed LaInAg2Se crystal.

a = 5.9344 Å, b = 5.6109 Å, c = 5.9344 Å
α = 90.00°, β = 90.00°, γ = 90.00°
Atoms (fractional coordinates):
La: 0.0000 0.0000 0.0000
Ag: 0.5000 0.0000 0.0000
Ag: 0.0000 0.0000 0.5000
Se: 0.0000 0.5000 0.0000
In: 0.5000 0.5000 0.5000

E: -3.231 eV per atom
Space group: No. 123
Crystal system: tetragonal

Density functional theory data (PBE-GGA) for a relaxed LaSmInAg crystal.

a = 3.7450 Å, b = 3.7450 Å, c = 8.0301 Å
α = 90.00°, β = 90.00°, γ = 90.00°
Atoms (fractional coordinates):
In: 0.5000 0.5000 0.1193
Sm: 0.0000 0.0000 0.3711
Ag: 0.5000 0.5000 0.5877
La: 0.0000 0.0000 0.8499

Space group: No. 99
Calculated formation energy: -385.2 meV per atom
Crystal system: tetragonal
Energy above the lowest structure with this stoichiometry: 0 meV per atom

Density functional theory data (PBE-GGA) for a relaxed LaSmInAg crystal.

a = 5.4451 Å, b = 5.4451 Å, c = 5.4451 Å
α = 60.00°, β = 60.00°, γ = 60.00°
Atoms (fractional coordinates):
Ag: 0.2500 0.2500 0.2500
La: 0.5000 0.5000 0.5000
In: 0.7500 0.7500 0.7500
Sm: 0.0000 0.0000 0.0000

Space group: No. 216
Calculated formation energy: -371.5 meV per atom
Crystal system: cubic
Energy above the lowest structure with this stoichiometry: 14 meV per atom